# TmAlCu | Alexandria via LeMat-Bulk | PBE-GGA | relaxed
data_TmAlCu
_chemical_formula_sum 'Tm2 Al2 Cu2'
_cell_length_a 5.323
_cell_length_b 5.323
_cell_length_c 5.323
_cell_angle_alpha 119.30
_cell_angle_beta 118.68
_cell_angle_gamma 91.76
_symmetry_space_group_name_H-M 'P 1'
_symmetry_Int_Tables_number 1
loop_
_symmetry_equiv_pos_as_xyz
'x,y,z'
loop_
_atom_site_label
_atom_site_type_symbol
_atom_site_fract_x
_atom_site_fract_y
_atom_site_fract_z
_atom_site_occupancy
Tm1 Tm 0.372 0.122 0.250 1
Tm2 Tm 0.628 0.878 0.750 1
Al1 Al 0.000 0.500 0.500 1
Al2 Al 0.500 0.500 0.000 1
Cu1 Cu 0.000 0.000 0.500 1
Cu2 Cu 0.000 0.500 0.000 1
# space-group type = Imma (74)
# DFT total energy = -27.013 eV per cell

# Tm3Al5Cu | Alexandria via LeMat-Bulk | PBE-GGA | relaxed
data_Tm3Al5Cu
_chemical_formula_sum 'Tm3 Al5 Cu1'
_cell_length_a 6.907
_cell_length_b 6.907
_cell_length_c 4.308
_cell_angle_alpha 90.00
_cell_angle_beta 90.00
_cell_angle_gamma 120.00
_symmetry_space_group_name_H-M 'P 1'
_symmetry_Int_Tables_number 1
loop_
_symmetry_equiv_pos_as_xyz
'x,y,z'
loop_
_atom_site_label
_atom_site_type_symbol
_atom_site_fract_x
_atom_site_fract_y
_atom_site_fract_z
_atom_site_occupancy
Tm1 Tm 0.000 0.412 0.000 1
Tm2 Tm 0.412 0.000 0.000 1
Tm3 Tm 0.588 0.588 0.000 1
Al1 Al 0.000 0.764 0.500 1
Al2 Al 0.236 0.236 0.500 1
Al3 Al 0.333 0.667 0.500 1
Al4 Al 0.667 0.333 0.500 1
Al5 Al 0.764 0.000 0.500 1
Cu1 Cu 0.000 0.000 0.000 1
# space-group type = P-62m (189)
# DFT total energy = -40.562 eV per cell

# TmAl11Cu | Alexandria via LeMat-Bulk | PBE-GGA | relaxed
data_TmAl11Cu
_chemical_formula_sum 'Tm1 Al11 Cu1'
_cell_length_a 6.826
_cell_length_b 6.826
_cell_length_c 7.138
_cell_angle_alpha 96.90
_cell_angle_beta 96.90
_cell_angle_gamma 135.11
_symmetry_space_group_name_H-M 'P 1'
_symmetry_Int_Tables_number 1
loop_
_symmetry_equiv_pos_as_xyz
'x,y,z'
loop_
_atom_site_label
_atom_site_type_symbol
_atom_site_fract_x
_atom_site_fract_y
_atom_site_fract_z
_atom_site_occupancy
Tm1 Tm 0.000 0.000 0.000 1
Al1 Al 0.000 0.000 0.500 1
Al2 Al 0.000 0.500 0.000 1
Al3 Al 0.007 0.654 0.647 1
Al4 Al 0.290 0.504 0.777 1
Al5 Al 0.346 0.993 0.353 1
Al6 Al 0.496 0.710 0.223 1
Al7 Al 0.500 0.000 0.000 1
Al8 Al 0.504 0.290 0.777 1
Al9 Al 0.654 0.007 0.647 1
Al10 Al 0.710 0.496 0.223 1
Al11 Al 0.993 0.346 0.353 1
Cu1 Cu 0.500 0.500 0.500 1
# space-group type = C2/m (12)
# DFT total energy = -50.960 eV per cell

# TmAl2Cu | Alexandria via LeMat-Bulk | PBE-GGA | relaxed
data_TmAl2Cu
_chemical_formula_sum 'Tm1 Al2 Cu1'
_cell_length_a 3.114
_cell_length_b 3.114
_cell_length_c 7.266
_cell_angle_alpha 90.00
_cell_angle_beta 90.00
_cell_angle_gamma 90.00
_symmetry_space_group_name_H-M 'P 1'
_symmetry_Int_Tables_number 1
loop_
_symmetry_equiv_pos_as_xyz
'x,y,z'
loop_
_atom_site_label
_atom_site_type_symbol
_atom_site_fract_x
_atom_site_fract_y
_atom_site_fract_z
_atom_site_occupancy
Tm1 Tm 0.000 0.000 0.000 1
Al1 Al 0.500 0.500 0.303 1
Al2 Al 0.500 0.500 0.697 1
Cu1 Cu 0.000 0.000 0.500 1
# space-group type = P4/mmm (123)
# DFT total energy = -17.120 eV per cell

# Tm4Al3Cu | Alexandria via LeMat-Bulk | PBE-GGA | relaxed
data_Tm4Al3Cu
_chemical_formula_sum 'Tm4 Al3 Cu1'
_cell_length_a 3.636
_cell_length_b 4.439
_cell_length_c 11.294
_cell_angle_alpha 90.00
_cell_angle_beta 90.00
_cell_angle_gamma 90.00
_symmetry_space_group_name_H-M 'P 1'
_symmetry_Int_Tables_number 1
loop_
_symmetry_equiv_pos_as_xyz
'x,y,z'
loop_
_atom_site_label
_atom_site_type_symbol
_atom_site_fract_x
_atom_site_fract_y
_atom_site_fract_z
_atom_site_occupancy
Tm1 Tm 0.000 0.000 0.000 1
Tm2 Tm 0.000 0.500 0.292 1
Tm3 Tm 0.500 0.000 0.479 1
Tm4 Tm 0.500 0.500 0.802 1
Al1 Al 0.000 0.000 0.710 1
Al2 Al 0.000 0.500 0.573 1
Al3 Al 0.500 0.500 0.077 1
Cu1 Cu 0.500 0.000 0.211 1
# E above lowest polymorph = 0.022 eV/atom
# space-group type = Pmm2 (25)

# Tm2AlCu7 | Alexandria via LeMat-Bulk | PBE-GGA | relaxed
data_Tm2AlCu7
_chemical_formula_sum 'Tm2 Al1 Cu7'
_cell_length_a 3.742
_cell_length_b 3.742
_cell_length_c 11.369
_cell_angle_alpha 90.00
_cell_angle_beta 90.00
_cell_angle_gamma 90.00
_symmetry_space_group_name_H-M 'P 1'
_symmetry_Int_Tables_number 1
loop_
_symmetry_equiv_pos_as_xyz
'x,y,z'
loop_
_atom_site_label
_atom_site_type_symbol
_atom_site_fract_x
_atom_site_fract_y
_atom_site_fract_z
_atom_site_occupancy
Tm1 Tm 0.000 0.500 0.246 1
Tm2 Tm 0.500 0.000 0.754 1
Al1 Al 0.000 0.000 0.500 1
Cu1 Cu 0.000 0.000 0.000 1
Cu2 Cu 0.000 0.500 0.647 1
Cu3 Cu 0.000 0.500 0.860 1
Cu4 Cu 0.500 0.000 0.140 1
Cu5 Cu 0.500 0.000 0.353 1
Cu6 Cu 0.500 0.500 0.000 1
Cu7 Cu 0.500 0.500 0.500 1
# space-group type = P-4m2 (115)
# DFT total energy = -43.431 eV per cell

# Tm3Al2Cu4 | Alexandria via LeMat-Bulk | PBE-GGA | relaxed
data_Tm3Al2Cu4
_chemical_formula_sum 'Tm3 Al2 Cu4'
_cell_length_a 5.321
_cell_length_b 5.321
_cell_length_c 8.295
_cell_angle_alpha 97.95
_cell_angle_beta 97.95
_cell_angle_gamma 46.43
_symmetry_space_group_name_H-M 'P 1'
_symmetry_Int_Tables_number 1
loop_
_symmetry_equiv_pos_as_xyz
'x,y,z'
loop_
_atom_site_label
_atom_site_type_symbol
_atom_site_fract_x
_atom_site_fract_y
_atom_site_fract_z
_atom_site_occupancy
Tm1 Tm 0.000 0.000 0.000 1
Tm2 Tm 0.374 0.374 0.619 1
Tm3 Tm 0.626 0.626 0.381 1
Al1 Al 0.316 0.316 0.225 1
Al2 Al 0.684 0.684 0.775 1
Cu1 Cu 0.080 0.080 0.637 1
Cu2 Cu 0.276 0.276 0.921 1
Cu3 Cu 0.724 0.724 0.079 1
Cu4 Cu 0.920 0.920 0.363 1
# space-group type = C2/m (12)
# DFT total energy = -40.556 eV per cell

# Tm2AlCu4 | Alexandria via LeMat-Bulk | PBE-GGA | relaxed
data_Tm2AlCu4
_chemical_formula_sum 'Tm2 Al1 Cu4'
_cell_length_a 7.800
_cell_length_b 7.800
_cell_length_c 7.800
_cell_angle_alpha 146.93
_cell_angle_beta 146.93
_cell_angle_gamma 47.47
_symmetry_space_group_name_H-M 'P 1'
_symmetry_Int_Tables_number 1
loop_
_symmetry_equiv_pos_as_xyz
'x,y,z'
loop_
_atom_site_label
_atom_site_type_symbol
_atom_site_fract_x
_atom_site_fract_y
_atom_site_fract_z
_atom_site_occupancy
Tm1 Tm 0.138 0.138 0.000 1
Tm2 Tm 0.862 0.862 0.000 1
Al1 Al 0.500 0.500 0.000 1
Cu1 Cu 0.000 0.500 0.500 1
Cu2 Cu 0.333 0.333 0.000 1
Cu3 Cu 0.500 0.000 0.500 1
Cu4 Cu 0.667 0.667 0.000 1
# space-group type = I4/mmm (139)
# DFT total energy = -28.089 eV per cell

# Tm3Al7Cu4 | Alexandria via LeMat-Bulk | PBE-GGA | relaxed
data_Tm3Al7Cu4
_chemical_formula_sum 'Tm3 Al7 Cu4'
_cell_length_a 7.965
_cell_length_b 7.965
_cell_length_c 9.436
_cell_angle_alpha 124.94
_cell_angle_beta 124.94
_cell_angle_gamma 30.18
_symmetry_space_group_name_H-M 'P 1'
_symmetry_Int_Tables_number 1
loop_
_symmetry_equiv_pos_as_xyz
'x,y,z'
loop_
_atom_site_label
_atom_site_type_symbol
_atom_site_fract_x
_atom_site_fract_y
_atom_site_fract_z
_atom_site_occupancy
Tm1 Tm 0.000 0.000 0.000 1
Tm2 Tm 0.309 0.309 0.305 1
Tm3 Tm 0.691 0.691 0.695 1
Al1 Al 0.000 0.000 0.500 1
Al2 Al 0.157 0.157 0.422 1
Al3 Al 0.324 0.324 0.975 1
Al4 Al 0.494 0.494 0.707 1
Al5 Al 0.506 0.506 0.293 1
Al6 Al 0.676 0.676 0.025 1
Al7 Al 0.843 0.843 0.578 1
Cu1 Cu 0.122 0.122 0.842 1
Cu2 Cu 0.342 0.342 0.727 1
Cu3 Cu 0.658 0.658 0.273 1
Cu4 Cu 0.878 0.878 0.158 1
# space-group type = C2/m (12)
# DFT total energy = -62.214 eV per cell